Entry 1:
{
  "formula": "SrTa2TcBr",
  "functional": "PBE",
  "state": "optimized geometry",
  "space_group": "P4/mmm (123)",
  "raw_formation_energy_ev_per_atom": 1.610,
  "lattice": [[-3.6685, -2.9503, -0.7709], [2.3227, -3.7027, 3.1175], [-2.2448, 1.7967, 3.8065]],
  "species": ["Sr", "Tc", "Br", "Ta", "Ta"],
  "fractional_positions": [[0.0000, 0.5000, 0.0000], [0.5000, 0.5000, 0.5000], [0.0000, 0.0000, 0.0000], [0.0000, 0.0000, 0.5000], [0.5000, 0.0000, 0.0000]]
}


Entry 2:
{
  "formula": "Rb2PaF8",
  "functional": "PBE",
  "state": "optimized geometry",
  "space_group": "C2/m (12)",
  "raw_formation_energy_ev_per_atom": -3.075,
  "polymorph_energy_mev_per_atom": 22.9,
  "lattice": [[-3.3287, -2.4542, 0.6047], [1.4429, -3.1888, -4.9990], [5.1579, -1.8616, 6.3928]],
  "species": ["Rb", "Rb", "Pa", "F", "F", "F", "F", "F", "F", "F", "F"],
  "fractional_positions": [[0.8270, 0.3267, 0.6539], [0.1730, 0.6733, 0.3461], [0.5000, 0.0000, 0.0000], [0.3951, 0.6672, 0.7902], [0.6059, 0.8802, 0.2117], [0.7979, 0.7966, 0.5957], [0.9996, 0.1948, 0.9993], [0.2021, 0.2034, 0.4043], [0.3941, 0.1198, 0.7883], [0.6049, 0.3328, 0.2098], [0.0004, 0.8052, 0.0007]]
}


Ordered volume results: 122; 193; unit Å³ per cell.
Ordered density results: 8.5; 4.8; unit Mg/m³.
Ordered total energy results: -29.378; -60.229; unit eV for the cell shown.